Record 1
A geometry-optimized La3Cu3Ag structure, computed with GGA-PBE.

Summary:
M_tot	0.000	Bohr magnetons per cell
E_form	-0.18	eV per atom
uncorrected energy	-4.4565	eV/atom

Cell lengths 10.7515, 4.4004, 15.1958 Å; angles 90.00, 109.12, 90.00 degrees
Space group C2/m (No. 12)
Asymmetric unit:
La 0.0423 0.0000 0.3917
La 0.1123 0.0000 0.9245
La 0.2401 0.0000 0.2267
Cu 0.0319 0.5000 0.2279
Cu 0.0937 0.5000 0.0776
Cu 0.1216 0.5000 0.5433
Ag 0.2450 0.5000 0.3893

=====

Record 2
A geometry-optimized La5Cu4Ag structure, computed with GGA-PBE.

Summary:
M_tot	0.000	Bohr magnetons per cell
E_form	-0.16	eV per atom
uncorrected energy	-4.5462	eV/atom

Cell lengths 3.6629, 3.6629, 18.7421 Å; angles 90.00, 90.00, 90.00 degrees
Space group P4/mmm (No. 123)
Asymmetric unit:
La 0.0000 0.0000 0.0000
La 0.0000 0.0000 0.1957
La 0.0000 0.0000 0.3903
Cu 0.5000 0.5000 0.0979
Cu 0.5000 0.5000 0.2938
Ag 0.5000 0.5000 0.5000

=====

Record 3
A geometry-optimized LaCuAg2 structure, computed with GGA-PBE.

Summary:
M_tot	0.000	Bohr magnetons per cell
E_form	-0.03	eV per atom
uncorrected energy	-3.7122	eV/atom

Cell lengths 3.2942, 3.5611, 7.1465 Å; angles 90.00, 90.00, 90.00 degrees
Space group Pmmm (No. 47)
Asymmetric unit:
La 0.0000 0.0000 0.0000
Cu 0.0000 0.0000 0.5000
Ag 0.5000 0.5000 0.3065

=====

Record 4
A geometry-optimized LaCu17Ag structure, computed with GGA-PBE.

Summary:
M_tot	0.000	Bohr magnetons per cell
E_form	0.01	eV per atom
uncorrected energy	-4.0674	eV/atom

Cell lengths 8.5274, 8.5274, 12.5015 Å; angles 90.00, 90.00, 120.00 degrees
Space group R3m (No. 160, hexagonal axes)
Asymmetric unit:
La 0.0000 0.0000 0.0000
Cu 0.0000 0.0000 0.2525
Cu 0.0000 0.0000 0.4475
Cu 0.0037 0.5018 0.8423
Cu 0.0050 0.3006 0.3442
Cu 0.0060 0.5030 0.4980
Cu 0.0115 0.5058 0.1915
Ag 0.0000 0.0000 0.6886

=====

Record 5
A geometry-optimized La4CuAg structure, computed with GGA-PBE.

Summary:
M_tot	0.000	Bohr magnetons per cell
E_form	0.02	eV per atom
uncorrected energy	-4.4204	eV/atom
energy relative to the lowest polymorph listed for this composition	131	meV per atom

Cell lengths 7.2414, 7.7159, 7.2062 Å; angles 90.00, 95.68, 90.00 degrees
Space group P2_1/c (No. 14)
Asymmetric unit:
La 0.1609 0.1686 0.1812
La 0.3376 0.6540 0.1111
Cu 0.0000 0.0000 0.5000
Ag 0.5000 0.0000 0.0000

=====

Record 6
A geometry-optimized La2CuAg structure, computed with GGA-PBE.

Summary:
M_tot	0.001	Bohr magnetons per cell
E_form	-0.19	eV per atom
uncorrected energy	-4.3911	eV/atom
energy relative to the lowest polymorph listed for this composition	9	meV per atom

Cell lengths 4.0690, 4.7719, 5.9412 Å; angles 90.00, 109.25, 90.00 degrees
Space group Pm (No. 6)
Asymmetric unit:
La 0.0000 0.0000 0.0000
La 0.2803 0.5000 0.5685
Cu 0.7092 0.0000 0.4267
Ag 0.5734 0.5000 0.1456

=====

Record 7
A geometry-optimized La2CuAg2 structure, computed with GGA-PBE.

Summary:
M_tot	0.009	Bohr magnetons per cell
E_form	-0.03	eV per atom
uncorrected energy	-3.9580	eV/atom
energy relative to the lowest polymorph listed for this composition	204	meV per atom

Cell lengths 3.8253, 3.8253, 17.6778 Å; angles 90.00, 90.00, 90.00 degrees
Space group I4/mmm (No. 139)
Asymmetric unit:
La 0.0000 0.0000 0.0953
Cu 0.0000 0.0000 0.5000
Ag 0.0000 0.5000 0.2500

=====

Record 8
A geometry-optimized LaCuAg2 structure, computed with GGA-PBE.

Summary:
M_tot	0.000	Bohr magnetons per cell
E_form	-0.04	eV per atom
uncorrected energy	-3.7227	eV/atom

Cell lengths 4.6924, 4.6924, 7.9983 Å; angles 90.00, 90.00, 90.00 degrees
Space group I4/mmm (No. 139)
Asymmetric unit:
La 0.0000 0.0000 0.0000
Cu 0.0000 0.0000 0.5000
Ag 0.0000 0.5000 0.2500